DFT (GGA-PBE) results for an optimized crystal structure of TaWN.

Unit cell a=5.761 b=3.020 c=4.906 alpha=90.00 beta=114.52 gamma=90.00
Element x y z (fractional)
Ta (0.311, 0.000, 0.344)
Ta (0.311, 0.500, 0.844)
W (0.759, 0.000, 0.075)
W (0.759, 0.500, 0.575)
N (0.027, 0.000, 0.540)
N (0.027, 0.500, 0.040)

Magnetization, μB per atom: 0.0000

=====

DFT (GGA-PBE) results for an optimized crystal structure of SrBe2ZnF8.

Unit cell a=4.843 b=4.843 c=7.384 alpha=87.16 beta=87.16 gamma=67.49
Element x y z (fractional)
Sr (0.000, 0.000, 0.500)
Be (0.632, 0.632, 0.224)
Be (0.368, 0.368, 0.776)
Zn (0.000, 0.000, 0.000)
F (0.721, 0.235, 0.784)
F (0.759, 0.759, 0.061)
F (0.706, 0.706, 0.415)
F (0.294, 0.294, 0.585)
F (0.241, 0.241, 0.939)
F (0.235, 0.721, 0.784)
F (0.765, 0.279, 0.216)
F (0.279, 0.765, 0.216)

Magnetization, μB per atom: 0.0000

=====

no.,raw formation energy (eV per atom),calculated density (g/cm3)
1,-0.4483,16.20
2,-3.1944,3.36